Ac2TlCd5 | Alexandria via LeMat-Bulk | GGA-PBE | relaxed; VASP energy = -2.186 eV/atom; total moment = 0.000 μB per formula unit; space group = Cmcm (63); V = 28.81 Å³ per atom; D(E_F) = 13.6 states/eV/cell
1.0
2.4876 -9.1553 0.0000
2.4876 9.1553 0.0000
0.0000 0.0000 10.1187
Ac Tl Cd
4 2 10
direct
0.0000 0.0000 0.0000 Ac
0.0000 0.0000 0.5000 Ac
0.2012 0.7988 0.7500 Ac
0.7988 0.2012 0.2500 Ac
0.4468 0.5532 0.2500 Tl
0.5532 0.4468 0.7500 Tl
0.1874 0.8126 0.1067 Cd
0.1874 0.8126 0.3933 Cd
0.3488 0.6512 0.0228 Cd
0.3488 0.6512 0.4772 Cd
0.3972 0.6028 0.7500 Cd
0.6028 0.3972 0.2500 Cd
0.6512 0.3488 0.5228 Cd
0.6512 0.3488 0.9772 Cd
0.8126 0.1874 0.6067 Cd
0.8126 0.1874 0.8933 Cd

=====

Ac5Tl2Cd2 | Alexandria via LeMat-Bulk | GGA-PBE | relaxed; VASP energy = -3.255 eV/atom; total moment = 0.000 μB per formula unit; space group = Cmce (64); V = 37.38 Å³ per atom; D(E_F) = 21.2 states/eV/cell
1.0
9.0491 -4.3527 0.0000
9.0491 4.3527 0.0000
0.0000 0.0000 8.5408
Ac Tl Cd
10 4 4
direct
0.0000 0.0000 0.0000 Ac
0.0415 0.6768 0.6723 Ac
0.1768 0.5415 0.1723 Ac
0.3232 0.9585 0.6723 Ac
0.4585 0.8232 0.1723 Ac
0.5000 0.5000 0.5000 Ac
0.5415 0.1768 0.8277 Ac
0.6768 0.0415 0.3277 Ac
0.8232 0.4585 0.8277 Ac
0.9585 0.3232 0.3277 Ac
0.2131 0.2131 0.0000 Tl
0.2869 0.2869 0.5000 Tl
0.7131 0.7131 0.5000 Tl
0.7869 0.7869 0.0000 Tl
0.1206 0.8794 0.3794 Cd
0.3794 0.6206 0.8794 Cd
0.6206 0.3794 0.1206 Cd
0.8794 0.1206 0.6206 Cd

=====

Ac6TlCd2 | Alexandria via LeMat-Bulk | GGA-PBE | relaxed; VASP energy = -3.407 eV/atom; total moment = 0.001 μB per formula unit; space group = Fmmm (69); V = 38.15 Å³ per atom; energy above the lowest structure with this stoichiometry = 0.0 meV/atom; D(E_F) = 12.1 states/eV/cell
1.0
0.0000 6.8962 8.6429
2.8805 0.0000 8.6429
2.8805 6.8962 0.0000
Ac Tl Cd
6 1 2
direct
0.0189 0.3165 0.6835 Ac
0.3165 0.0189 0.9811 Ac
0.3496 0.6504 0.3496 Ac
0.6504 0.3496 0.6504 Ac
0.6835 0.9811 0.0189 Ac
0.9811 0.6835 0.3165 Ac
0.0000 0.0000 0.0000 Tl
0.3333 0.3333 0.6667 Cd
0.6667 0.6667 0.3333 Cd

=====

Ac3Tl3Cd8 | Alexandria via LeMat-Bulk | GGA-PBE | relaxed; VASP energy = -2.173 eV/atom; total moment = 0.000 μB per formula unit; space group = Immm (71); V = 28.30 Å³ per atom; D(E_F) = 7.2 states/eV/cell
1.0
-2.5014 5.4609 7.2505
2.5014 -5.4609 7.2505
2.5014 5.4609 -7.2505
Ac Tl Cd
3 3 8
direct
0.0000 0.0000 0.0000 Ac
0.3091 0.3091 0.0000 Ac
0.6909 0.6909 0.0000 Ac
0.2936 0.5000 0.7936 Tl
0.5000 0.0000 0.5000 Tl
0.7064 0.5000 0.2064 Tl
0.0342 0.6628 0.3714 Cd
0.1192 0.8516 0.2676 Cd
0.2914 0.6628 0.6286 Cd
0.4161 0.1484 0.2676 Cd
0.5839 0.8516 0.7324 Cd
0.7086 0.3372 0.3714 Cd
0.8808 0.1484 0.7324 Cd
0.9658 0.3372 0.6286 Cd

=====

Ac4TlCd3 | Alexandria via LeMat-Bulk | GGA-PBE | relaxed; VASP energy = -2.968 eV/atom; total moment = 0.000 μB per formula unit; space group = Pmm2 (25); V = 34.66 Å³ per atom; energy above the lowest structure with this stoichiometry = 30.7 meV/atom; D(E_F) = 7.3 states/eV/cell
1.0
4.0540 0.0000 0.0000
0.0000 5.1713 0.0000
0.0000 0.0000 13.2246
Ac Tl Cd
4 1 3
direct
0.0000 0.0000 0.0000 Ac
0.0000 0.5000 0.3052 Ac
0.5000 0.0000 0.4947 Ac
0.5000 0.5000 0.8058 Ac
0.0000 0.0000 0.7236 Tl
0.0000 0.5000 0.5790 Cd
0.5000 0.0000 0.2198 Cd
0.5000 0.5000 0.0834 Cd

=====

Ac4TlCd5 | Alexandria via LeMat-Bulk | GGA-PBE | relaxed; VASP energy = -2.590 eV/atom; total moment = 0.000 μB per formula unit; space group = P4/mmm (123); V = 32.44 Å³ per atom; D(E_F) = 8.9 states/eV/cell
1.0
4.0915 0.0000 0.0000
0.0000 4.0915 0.0000
0.0000 0.0000 19.3810
Ac Tl Cd
4 1 5
direct
0.0000 0.0000 0.1049 Ac
0.0000 0.0000 0.3128 Ac
0.0000 0.0000 0.6872 Ac
0.0000 0.0000 0.8951 Ac
0.0000 0.0000 0.5000 Tl
0.5000 0.5000 0.0000 Cd
0.5000 0.5000 0.2082 Cd
0.5000 0.5000 0.4164 Cd
0.5000 0.5000 0.5836 Cd
0.5000 0.5000 0.7918 Cd

=====

Ac4TlCd2 | Alexandria via LeMat-Bulk | GGA-PBE | relaxed; VASP energy = -3.134 eV/atom; total moment = 0.000 μB per formula unit; space group = R-3m (166); V = 37.39 Å³ per atom; D(E_F) = 8.8 states/eV/cell
1.0
2.8693 1.6566 9.1778
-2.8693 1.6566 9.1778
0.0000 -3.3131 9.1778
Ac Tl Cd
4 1 2
direct
0.1192 0.1192 0.1192 Ac
0.3714 0.3714 0.3714 Ac
0.6286 0.6286 0.6286 Ac
0.8808 0.8808 0.8808 Ac
0.5000 0.5000 0.5000 Tl
0.2477 0.2477 0.2477 Cd
0.7523 0.7523 0.7523 Cd

=====

Ac2Tl3Cd2 | Alexandria via LeMat-Bulk | GGA-PBE | relaxed; VASP energy = -2.725 eV/atom; total moment = 0.000 μB per formula unit; space group = Cmcm (63); V = 30.98 Å³ per atom; energy above the lowest structure with this stoichiometry = 0.0 meV/atom; D(E_F) = 6.0 states/eV/cell
1.0
2.4925 -10.8836 0.0000
2.4925 10.8836 0.0000
0.0000 0.0000 7.9953
Ac Tl Cd
4 6 4
direct
0.0478 0.9522 0.7500 Ac
0.1573 0.8427 0.2500 Ac
0.8427 0.1573 0.7500 Ac
0.9522 0.0478 0.2500 Ac
0.2226 0.7774 0.7500 Tl
0.4370 0.5630 0.5638 Tl
0.4370 0.5630 0.9362 Tl
0.5630 0.4370 0.0638 Tl
0.5630 0.4370 0.4362 Tl
0.7774 0.2226 0.2500 Tl
0.3113 0.6887 0.0591 Cd
0.3113 0.6887 0.4409 Cd
0.6887 0.3113 0.5591 Cd
0.6887 0.3113 0.9409 Cd